(1)
# PBE-GGA Pm4YPt2, optimized geometry
data_Pm4YPt2
_chemical_formula_sum 'Pm8 Y2 Pt4'
_symmetry_space_group_name_H-M 'P 1 21/m 1'
_symmetry_Int_Tables_number 11
_cell_length_a 7.948
_cell_length_b 6.517
_cell_length_c 8.272
_cell_angle_alpha 90.00
_cell_angle_beta 113.44
_cell_angle_gamma 90.00
loop_
_symmetry_equiv_pos_as_xyz
'x,y,z'
'-x,-y,-z'
'-x,y+1/2,-z'
'x,-y+1/2,z'
loop_
_atom_site_label
_atom_site_fract_x
_atom_site_fract_y
_atom_site_fract_z
Pm1 0.013 0.250 0.384
Pm2 0.248 0.750 0.348
Pm3 0.412 0.008 0.772
Y1 0.153 0.250 0.030
Pt1 0.232 0.750 0.993
Pt2 0.373 0.250 0.407
# Uncorrected energy: -41.9 eV/f.u.

---

(2)
# PBE-GGA PmYPt2, optimized geometry
data_PmYPt2
_chemical_formula_sum 'Pm2 Y2 Pt4'
_symmetry_space_group_name_H-M 'A m m 2'
_symmetry_Int_Tables_number 38
_cell_length_a 4.513
_cell_length_b 3.845
_cell_length_c 10.701
_cell_angle_alpha 90.00
_cell_angle_beta 90.00
_cell_angle_gamma 90.00
loop_
_symmetry_equiv_pos_as_xyz
'x,y,z'
'-x,-y,z'
'-x,y,z'
'x,-y,z'
'x,y+1/2,z+1/2'
'-x,-y+1/2,z+1/2'
'-x,y+1/2,z+1/2'
'x,-y+1/2,z+1/2'
loop_
_atom_site_label
_atom_site_fract_x
_atom_site_fract_y
_atom_site_fract_z
Pm1 0.000 0.000 0.000
Y1 0.500 0.000 0.724
Pt1 0.000 0.000 0.274
Pt2 0.500 0.000 0.448
# Uncorrected energy: -28.2 eV/f.u.
# Polymorph energy (0 for the lowest one): 0 meV/atom

---

(3)
# PBE-GGA YbPmPt2, optimized geometry
data_YbPmPt2
_chemical_formula_sum 'Yb4 Pm4 Pt8'
_symmetry_space_group_name_H-M 'F m -3 m'
_symmetry_Int_Tables_number 225
_symmetry_space_group_name_Hall '-F 4 2 3'
_cell_length_a 7.062
_cell_length_b 7.062
_cell_length_c 7.062
_cell_angle_alpha 90.00
_cell_angle_beta 90.00
_cell_angle_gamma 90.00
loop_
_atom_site_label
_atom_site_fract_x
_atom_site_fract_y
_atom_site_fract_z
Yb1 0.000 0.000 0.000
Pm1 0.000 0.000 0.500
Pt1 0.250 0.250 0.250
# Uncorrected energy: -22.7 eV/f.u.

---

(4)
# PBE-GGA Pm3Zn9Pt2, optimized geometry
data_Pm3Zn9Pt2
_chemical_formula_sum 'Pm6 Zn18 Pt4'
_symmetry_space_group_name_H-M 'I m m m'
_symmetry_Int_Tables_number 71
_symmetry_space_group_name_Hall '-I 2 2'
_cell_length_a 4.317
_cell_length_b 9.065
_cell_length_c 13.264
_cell_angle_alpha 90.00
_cell_angle_beta 90.00
_cell_angle_gamma 90.00
loop_
_atom_site_label
_atom_site_fract_x
_atom_site_fract_y
_atom_site_fract_z
Pm1 0.000 0.000 0.000
Pm2 0.000 0.000 0.311
Zn1 0.000 0.281 0.127
Zn2 0.000 0.358 0.326
Zn3 0.000 0.500 0.000
Pt1 0.000 0.217 0.500
# Uncorrected energy: -45.0 eV/f.u.

---

Ordered V results: 28.080 23.213 22.010 18.539; unit Å³ per atom.